A plane-wave DFT calculation with PBE-GGA was carried out for a relaxed As3P4 crystal.

Final energy   -4.65 eV/atom
ΔH_f (0 K)   0.439 eV per atom

CIF file:
```
data_As3P4
_chemical_formula_sum 'As6 P8'
_symmetry_space_group_name_H-M 'I 4/m m m'
_symmetry_Int_Tables_number 139
_symmetry_space_group_name_Hall '-I 4 2'
_cell_length_a 3.241
_cell_length_b 3.241
_cell_length_c 25.384
_cell_angle_alpha 90.00
_cell_angle_beta 90.00
_cell_angle_gamma 90.00
loop_
_atom_site_label
_atom_site_type_symbol
_atom_site_fract_x
_atom_site_fract_y
_atom_site_fract_z
_atom_site_occupancy
As1 As 0.000 0.000 0.000 1
As2 As 0.000 0.000 0.275 1
P1 P 0.000 0.000 0.107 1
P2 P 0.000 0.000 0.420 1
```